# Sc5Al3 PBEsol relaxed
data_Sc5Al3
_chemical_formula_sum 'Sc5 Al3'
_cell_length_a 3.116
_cell_length_b 3.116
_cell_length_c 16.549
_cell_angle_alpha 90.00
_cell_angle_beta 90.00
_cell_angle_gamma 90.00
_symmetry_space_group_name_H-M 'P 4/m m m'
_symmetry_Int_Tables_number 123
_symmetry_space_group_name_Hall '-P 4 2'
loop_
_atom_site_label
_atom_site_fract_x
_atom_site_fract_y
_atom_site_fract_z
Sc1 0.000 0.000 0.000
Sc2 0.000 0.000 0.236
Sc3 0.500 0.500 0.381
Al1 0.000 0.000 0.500
Al2 0.500 0.500 0.118
# crystal system: tetragonal
# Fermi-level density of states: 6.8 states/eV/cell
# E_form: -2.81 eV/f.u.
# relative energy among the computed polymorphs: 0.0000 eV per atom